First-principles (PBE) data for an optimized crystal structure of Nd4Ni3Ir, as listed in Alexandria.

abc: 3.918 4.297 10.683
angles: 90.00 90.00 90.00
Fractional positions:
Nd (0.000, 0.000, 0.141)
Nd (0.500, 0.000, 0.637)
Ni (0.000, 0.000, 0.434)
Ni (0.500, 0.000, 0.922)
Nd (0.500, 0.500, 0.361)
Nd (0.000, 0.500, 0.861)
Ir (0.500, 0.500, 0.076)
Ni (0.000, 0.500, 0.569)

Results
The density of states at the Fermi level is 0.83 states/eV/atom. As for the space-group type: Pmm2. The calculated formation energy is -3.3 eV/f.u.